Compound: CaBeTc2
Source: Alexandria via LeMat-Bulk
Functional: GGA-PBEsol
Structure: optimized geometry

Structure (POSCAR):
```
CaBeTc2
1.0
3.034 0.000 0.000
0.000 3.034 0.000
0.000 0.000 6.906
Ca Be Tc
1 1 2
direct
0.000 0.000 0.000
0.500 0.500 0.684
0.000 0.000 0.523
0.500 0.500 0.322
```

Calculated values
Formation energy from the elements = 157 meV per atom
Calculated total energy = -7.0099 eV per atom